DFT (GGA-PBEsol) results for PmNdHg2 after structural relaxation.

## Properties
Size of the total moment in μB/f.u.: 0.78
Energy in Ry/atom: -0.2505
SG: No. 225
E_form in eV per atom: -0.55
Density of states at the Fermi level in states/eV/cell: 4.6

```
data_PmNdHg2
_symmetry_space_group_name_H-M 'P 1'
_symmetry_Int_Tables_number 1
_symmetry_space_group_name_Hall 'P 1'
_cell_length_a 5.302
_cell_length_b 5.302
_cell_length_c 5.302
_cell_angle_alpha 60.00
_cell_angle_beta 60.00
_cell_angle_gamma 60.00
loop_
_atom_site_label
_atom_site_type_symbol
_atom_site_fract_x
_atom_site_fract_y
_atom_site_fract_z
_atom_site_occupancy
Nd1 Nd 0.500 0.500 0.500 1
Hg1 Hg 0.250 0.250 0.250 1
Hg2 Hg 0.750 0.750 0.750 1
Pm1 Pm 0.000 0.000 0.000 1
```